Entry 1:
Entry from Alexandria via LeMat-Bulk: crystalline Rb3LaC at its relaxed geometry (PBE-GGA).

Results
Symmetry: No. 221

a = 7.5304 Å, b = 7.5304 Å, c = 7.5304 Å
α = 90.00°, β = 90.00°, γ = 90.00°
Fractional coordinates of all 5 atoms:
1 Rb 0.0000 0.0000 0.5000
2 Rb 0.0000 0.5000 0.0000
3 Rb 0.5000 0.0000 0.0000
4 La 0.0000 0.0000 0.0000
5 C 0.5000 0.5000 0.5000

***

Entry 2:
Entry from Alexandria via LeMat-Bulk: crystalline RbLa2C at its relaxed geometry (PBE-GGA).

Results
Symmetry: No. 166

a = 3.8249 Å, b = 3.8249 Å, c = 34.4180 Å
α = 90.00°, β = 90.00°, γ = 120.00°
Fractional coordinates of all 12 atoms:
1 Rb 0.0000 0.0000 0.0000
2 Rb 0.3333 0.6667 0.6667
3 Rb 0.6667 0.3333 0.3333
4 La 0.0000 0.0000 0.1255
5 La 0.0000 0.0000 0.8745
6 La 0.3333 0.6667 0.5412
7 La 0.3333 0.6667 0.7922
8 La 0.6667 0.3333 0.2078
9 La 0.6667 0.3333 0.4588
10 C 0.0000 0.0000 0.5000
11 C 0.3333 0.6667 0.1667
12 C 0.6667 0.3333 0.8333

***

Entry 3:
Entry from Alexandria via LeMat-Bulk: crystalline RbLa2C at its relaxed geometry (PBE-GGA).

Results
Symmetry: No. 122

a = 7.9565 Å, b = 7.9565 Å, c = 11.1816 Å
α = 90.00°, β = 90.00°, γ = 90.00°
Fractional coordinates of all 16 atoms:
1 Rb 0.0000 0.0000 0.0000
2 Rb 0.0000 0.5000 0.2500
3 Rb 0.5000 0.0000 0.7500
4 Rb 0.5000 0.5000 0.5000
5 La 0.0448 0.2500 0.6250
6 La 0.2500 0.5448 0.8750
7 La 0.2500 0.9552 0.3750
8 La 0.4552 0.2500 0.1250
9 La 0.5448 0.7500 0.1250
10 La 0.7500 0.0448 0.3750
11 La 0.7500 0.4552 0.8750
12 La 0.9552 0.7500 0.6250
13 C 0.0000 0.0000 0.5000
14 C 0.0000 0.5000 0.7500
15 C 0.5000 0.0000 0.2500
16 C 0.5000 0.5000 0.0000

***

Result set for energy of formation: 10.1; 0.2; 1.4 eV/f.u., one per record in the order listed.
Result set for density: 1.6; 4.3; 3.5 Mg/m³, one per record in the order listed.